# Ce2W3O12

A relaxed Ce2W3O12 crystal (PBE+U, Alexandria via LeMat-Bulk).

POSCAR file:
```
Ce2W3O12
1.0
-2.404 -6.575 -1.356
3.871 0.235 5.984
-8.417 -0.998 8.121
O Ce W
24 4 6
direct
0.338 0.918 0.609
0.456 0.111 0.196
0.082 0.662 0.891
0.397 0.472 0.928
0.544 0.889 0.804
0.915 0.811 0.460
0.662 0.082 0.391
0.111 0.456 0.696
0.116 0.207 0.282
0.793 0.884 0.218
0.189 0.085 0.040
0.472 0.397 0.428
0.811 0.915 0.960
0.889 0.544 0.304
0.085 0.189 0.540
0.528 0.603 0.572
0.918 0.338 0.109
0.231 0.660 0.441
0.340 0.769 0.059
0.207 0.116 0.782
0.603 0.528 0.072
0.660 0.231 0.941
0.769 0.340 0.559
0.884 0.793 0.718
0.287 0.041 0.405
0.959 0.713 0.095
0.713 0.959 0.595
0.041 0.287 0.905
0.460 0.253 0.047
0.253 0.460 0.547
0.135 0.865 0.750
0.540 0.747 0.953
0.865 0.135 0.250
0.747 0.540 0.453
```

* E: -7.891 eV/atom
* density: 6.520 g cm⁻³